Entry from Alexandria: a geometry-optimized Ac7Ge5 structure (PBE-GGA).

POSCAR file:
```
Ac7Ge5
1.0
-2.383 3.829 0.329
-1.322 -2.877 -7.163
-8.848 -6.191 7.968
Ac Ge
7 5
direct
0.043 0.087 0.784
0.740 0.481 0.356
0.260 0.519 0.644
0.656 0.313 0.050
0.344 0.687 0.950
0.957 0.913 0.216
0.500 0.000 0.500
0.883 0.767 0.576
0.117 0.233 0.424
0.000 0.000 0.000
0.699 0.397 0.804
0.301 0.603 0.196
```

Values from the calculation:
* DFT total energy: -58.966 eV for the cell shown
* ΔE_f: -0.59 eV per atom
* V: 438 Å³ per cell
* space-group type: C2/m